Computed, not measured: KZnW after structural relaxation at the PBEsol level of DFT.

The structure belongs to space group I4mm (No. 107); the cell edges are 2.7141, 2.7141 and 15.8931 Å and the angles 90.00°, 90.00° and 90.00°. The distinct sites, in fractional coordinates, are K at (0.0000, 0.0000, 0.0000), Zn at (0.0000, 0.0000, 0.3139) and W at (0.0000, 0.0000, 0.6885).

The calculation puts the energy of formation at 0.942 eV/atom. The value obtained for the density of states at the Fermi level is 0.948 states/eV per atom.



Computed, not measured: LiBH5N after structural relaxation at the PBEsol level of DFT.

The structure belongs to space group Pbca (No. 61); the cell edges are 5.0674, 6.8272 and 13.3765 Å and the angles 90.00°, 90.00° and 90.00°. The distinct sites, in fractional coordinates, are Li at (0.0715, 0.0572, 0.1745), B at (0.0418, 0.5908, 0.8499), H at (0.0421, 0.5718, 0.1781), H at (0.0947, 0.6858, 0.7734), H at (0.1303, 0.1945, 0.9340), H at (0.1479, 0.1754, 0.6080), H at (0.2436, 0.5111, 0.4787) and N at (0.2083, 0.0620, 0.9129).

The value obtained for the density of states at the Fermi level is 0.000 states/eV per atom. The electronic total energy comes out at -4.669 eV/atom.



Computed, not measured: ReMo2Se after structural relaxation at the PBEsol level of DFT.

The structure belongs to space group P4/mmm (No. 123); the cell edges are 3.6808, 3.6808 and 4.4934 Å and the angles 90.00°, 90.00° and 90.00°. The distinct sites, in fractional coordinates, are Re at (0.0000, 0.0000, 0.0000), Mo at (0.0000, 0.5000, 0.5000) and Se at (0.5000, 0.5000, 0.0000).

The calculation puts the uncorrected formation energy at 0.64 eV per atom. The value obtained for the density of states at the Fermi level is 0.990 states/eV per atom.



Computed, not measured: KLi2Mn after structural relaxation at the PBEsol level of DFT.

The structure belongs to space group Fm-3m (No. 225); the cell edges are 7.4697, 7.4697 and 7.4697 Å and the angles 90.00°, 90.00° and 90.00°. The distinct sites, in fractional coordinates, are K at (0.0000, 0.0000, 0.0000), Li at (0.2500, 0.2500, 0.2500) and Mn at (0.0000, 0.0000, 0.5000).

The calculation puts the energy of formation at 0.703 eV/atom. The value obtained for the density of states at the Fermi level is 0.932 states/eV per atom.



Computed, not measured: AlCo2Si after structural relaxation at the PBEsol level of DFT.

The structure belongs to space group I4/mmm (No. 139); the cell edges are 3.8102, 3.8102 and 5.9019 Å and the angles 90.00°, 90.00° and 90.00°. The distinct sites, in fractional coordinates, are Al at (0.0000, 0.0000, 0.0000), Co at (0.0000, 0.5000, 0.2500) and Si at (0.0000, 0.0000, 0.5000).

The calculation puts the uncorrected formation energy at -0.63 eV per atom. The value obtained for the density of states at the Fermi level is 0.523 states/eV per atom.



Computed, not measured: TlHSe2 after structural relaxation at the PBEsol level of DFT.

The structure belongs to space group I-42d (No. 122); the cell edges are 5.5395, 5.5395 and 10.9528 Å and the angles 90.00°, 90.00° and 90.00°. The distinct sites, in fractional coordinates, are Tl at (0.0000, 0.0000, 0.0000), H at (0.0000, 0.0000, 0.5000) and Se at (0.1689, 0.2500, 0.6250).

The value obtained for the density of states at the Fermi level is 0.056 states/eV per atom. The electronic total energy comes out at -3.237 eV/atom.



Computed, not measured: TaNbOs3 after structural relaxation at the PBEsol level of DFT.

The structure belongs to space group Pm-3m (No. 221); the cell edges are 4.6299, 4.6299 and 4.6299 Å and the angles 90.00°, 90.00° and 90.00°. The distinct sites, in fractional coordinates, are Ta at (0.0000, 0.0000, 0.0000), Nb at (0.5000, 0.5000, 0.5000) and Os at (0.0000, 0.0000, 0.5000).

The calculation puts the energy of formation at 2.126 eV/atom. The value obtained for the density of states at the Fermi level is 1.212 states/eV per atom.



Computed, not measured: LaSbOs2 after structural relaxation at the PBEsol level of DFT.

The structure belongs to space group P4mm (No. 99); the cell edges are 3.0385, 3.0385 and 8.4892 Å and the angles 90.00°, 90.00° and 90.00°. The distinct sites, in fractional coordinates, are La at (0.0000, 0.0000, 0.0000), Sb at (0.5000, 0.5000, 0.6795), Os at (0.0000, 0.0000, 0.4506) and Os at (0.5000, 0.5000, 0.2742).

The calculation puts the uncorrected formation energy at 0.27 eV per atom. The value obtained for the density of states at the Fermi level is 0.894 states/eV per atom.